[1]
An optimized crystal structure of SmHoIr2, computed with PBE.

Its energy relative to the lowest polymorph listed for this composition is 2.9 meV per atom. Its final energy is -119.8 eV for the cell shown. The calculation puts the formation energy at -0.7314 eV/atom.

The structure belongs to space group Fm-3m (No. 225); the cell edges are 6.9177, 6.9177 and 6.9177 Å and the angles 90.00°, 90.00° and 90.00°. The inequivalent atoms are Sm at (0.0000, 0.0000, 0.0000), Ho at (0.0000, 0.0000, 0.5000) and Ir at (0.2500, 0.2500, 0.2500).



[2]
An optimized crystal structure of SmHo3Ir, computed with PBE.

Its energy relative to the lowest polymorph listed for this composition is 52.4 meV per atom. Its final energy is -28.8 eV for the cell shown. The calculation puts the formation energy at -0.2895 eV/atom.

The structure belongs to space group Pm-3m (No. 221); the cell edges are 5.4187, 5.4187 and 5.4187 Å and the angles 90.00°, 90.00° and 90.00°. The inequivalent atoms are Sm at (0.0000, 0.0000, 0.0000), Ho at (0.0000, 0.5000, 0.5000) and Ir at (0.5000, 0.5000, 0.5000).



[3]
An optimized crystal structure of SmHo5Ir4, computed with PBE.

Its final energy is -141.2 eV for the cell shown. The calculation puts the formation energy at -0.7572 eV/atom.

The structure belongs to space group C2/m (No. 12); the cell edges are 14.5651, 4.8246 and 6.7615 Å and the angles 90.00°, 90.41° and 90.00°. The inequivalent atoms are Sm at (0.0000, 0.0000, 0.0000), Ho at (0.0000, 0.0000, 0.5000), Ho at (0.1672, 0.5000, 0.4981), Ho at (0.1676, 0.5000, 0.9981), Ir at (0.0031, 0.5000, 0.2546) and Ir at (0.1682, 0.0000, 0.7487).



[4]
An optimized crystal structure of Sm3HoIr8, computed with PBE.

Its final energy is -296.3 eV for the cell shown. The calculation puts the formation energy at -0.7610 eV/atom.

The structure belongs to space group R3m (No. 160, hexagonal axes); the cell edges are 5.3973, 5.3973 and 26.4151 Å and the angles 90.00°, 90.00° and 120.00°. The inequivalent atoms are Sm at (0.0000, 0.0000, 0.0000), Sm at (0.0000, 0.0000, 0.1251), Sm at (0.0000, 0.0000, 0.5006), Ho at (0.0000, 0.0000, 0.6254), Ir at (0.0000, 0.0000, 0.3126), Ir at (0.0000, 0.0000, 0.8127), Ir at (0.0004, 0.5002, 0.5633) and Ir at (0.1670, 0.3340, 0.3955).



[5]
An optimized crystal structure of SmHo4Ir5, computed with PBE.

Its final energy is -75.2 eV for the cell shown. The calculation puts the formation energy at -0.7878 eV/atom.

The structure belongs to space group P4/mmm (No. 123); the cell edges are 3.4813, 3.4813 and 16.6618 Å and the angles 90.00°, 90.00° and 90.00°. The inequivalent atoms are Sm at (0.0000, 0.0000, 0.0000), Ho at (0.0000, 0.0000, 0.2029), Ho at (0.0000, 0.0000, 0.4011), Ir at (0.5000, 0.5000, 0.1055), Ir at (0.5000, 0.5000, 0.3023) and Ir at (0.5000, 0.5000, 0.5000).



[6]
An optimized crystal structure of Sm3HoIr, computed with PBE.

Its final energy is -28.4 eV for the cell shown. The calculation puts the formation energy at -0.1520 eV/atom.

The structure belongs to space group Pm-3m (No. 221); the cell edges are 5.5383, 5.5383 and 5.5383 Å and the angles 90.00°, 90.00° and 90.00°. The inequivalent atoms are Sm at (0.0000, 0.0000, 0.5000), Ho at (0.5000, 0.5000, 0.5000) and Ir at (0.0000, 0.0000, 0.0000).



[7]
An optimized crystal structure of SmHoIr, computed with PBE.

Its energy relative to the lowest polymorph listed for this composition is 8.2 meV per atom. Its final energy is -80.4 eV for the cell shown. The calculation puts the formation energy at -0.6435 eV/atom.

The structure belongs to space group F-43m (No. 216); the cell edges are 6.8509, 6.8509 and 6.8509 Å and the angles 90.00°, 90.00° and 90.00°. The inequivalent atoms are Sm at (0.0000, 0.0000, 0.0000), Ho at (0.0000, 0.0000, 0.5000) and Ir at (0.2500, 0.2500, 0.2500).



[8]
An optimized crystal structure of SmHoIr2, computed with PBE.

Its energy relative to the lowest polymorph listed for this composition is 0.0 meV per atom. Its final energy is -59.9 eV for the cell shown. The calculation puts the formation energy at -0.7344 eV/atom.

The structure belongs to space group Pmma (No. 51); the cell edges are 4.9748, 3.3347 and 9.9640 Å and the angles 90.00°, 90.00° and 90.00°. The inequivalent atoms are Sm at (0.2500, 0.0000, 0.1270), Ho at (0.2500, 0.0000, 0.6224), Ir at (0.2500, 0.5000, 0.3804) and Ir at (0.2500, 0.5000, 0.8677).



[9]
An optimized crystal structure of SmHoZnIr, computed with PBE.

Its final energy is -43.5 eV for the cell shown. The calculation puts the formation energy at -0.5855 eV/atom.

The structure belongs to space group Amm2 (No. 38); the cell edges are 4.3356, 3.9439 and 10.7291 Å and the angles 90.00°, 90.00° and 90.00°. The inequivalent atoms are Sm at (0.0000, 0.0000, 0.0000), Ho at (0.5000, 0.0000, 0.7201), Zn at (0.5000, 0.0000, 0.4275) and Ir at (0.0000, 0.0000, 0.2841).



[10]
An optimized crystal structure of SmHoZnIr, computed with PBE.

Its final energy is -87.1 eV for the cell shown. The calculation puts the formation energy at -0.5855 eV/atom.

The structure belongs to space group F-43m (No. 216); the cell edges are 7.0311, 7.0311 and 7.0311 Å and the angles 90.00°, 90.00° and 90.00°. The inequivalent atoms are Sm at (0.0000, 0.0000, 0.0000), Ho at (0.0000, 0.0000, 0.5000), Zn at (0.2500, 0.2500, 0.7500) and Ir at (0.2500, 0.2500, 0.2500).



[11]
An optimized crystal structure of HoSnIr, computed with PBE.

Its final energy is -19.4 eV for the cell shown. The calculation puts the formation energy at -0.6650 eV/atom.

The structure belongs to space group P-6m2 (No. 187); the cell edges are 4.6652, 4.6652 and 3.3658 Å and the angles 90.00°, 90.00° and 120.00°. The inequivalent atoms are Ho at (0.0000, 0.0000, 0.0000), Sn at (0.6667, 0.3333, 0.5000) and Ir at (0.3333, 0.6667, 0.5000).



[12]
An optimized crystal structure of HoSnIr2, computed with PBE.

Its final energy is -28.6 eV for the cell shown. The calculation puts the formation energy at -0.5651 eV/atom.

The structure belongs to space group P4/mmm (No. 123); the cell edges are 4.4236, 4.4236 and 3.7701 Å and the angles 90.00°, 90.00° and 90.00°. The inequivalent atoms are Ho at (0.0000, 0.0000, 0.0000), Sn at (0.5000, 0.5000, 0.0000) and Ir at (0.0000, 0.5000, 0.5000).